Here is Si2HgRu at its PBEsol-relaxed geometry from Alexandria. Energies are from SCAN.

The calculated volume is 15.7 A^3/atom. As for the total DFT energy (no corrections): -30.474 eV/atom.

It has space group R3m (No. 160, hexagonal axes), with a = 2.9892 Å, b = 2.9892 Å, c = 24.3929 Å, α = 90.00°, β = 90.00° and γ = 120.00°. The asymmetric unit holds Si at (0.0000, 0.0000, 0.0000), Si at (0.0000, 0.0000, 0.2559), Hg at (0.0000, 0.0000, 0.7613) and Ru at (0.0000, 0.0000, 0.5231).

***

Here is CrCu2Cl at its PBEsol-relaxed geometry from Alexandria. Energies are from SCAN.

The calculated volume is 14.7 A^3/atom. As for the total DFT energy (no corrections): -14.117 eV/atom.

It has space group P4mm (No. 99), with a = 3.0737 Å, b = 3.0737 Å, c = 6.2155 Å, α = 90.00°, β = 90.00° and γ = 90.00°. The asymmetric unit holds Cr at (0.0000, 0.0000, 0.0000), Cu at (0.0000, 0.0000, 0.4148), Cu at (0.5000, 0.5000, 0.2419) and Cl at (0.5000, 0.5000, 0.7556).

***

Copy entry 1 word for word.
Here is Si2HgRu at its PBEsol-relaxed geometry from Alexandria. Energies are from SCAN.

The calculated volume is 15.7 A^3/atom. As for the total DFT energy (no corrections): -30.474 eV/atom.

It has space group R3m (No. 160, hexagonal axes), with a = 2.9892 Å, b = 2.9892 Å, c = 24.3929 Å, α = 90.00°, β = 90.00° and γ = 120.00°. The asymmetric unit holds Si at (0.0000, 0.0000, 0.0000), Si at (0.0000, 0.0000, 0.2559), Hg at (0.0000, 0.0000, 0.7613) and Ru at (0.0000, 0.0000, 0.5231).

***

Question: The highest calculated volume belongs to which entry?
Answer: Si2HgRu